Arrangement a

! Pm4Pr2Ho3 (PBE, optimized geometry); values from VASP
! calculated volume = 34.09 Å³ per atom
! space group = No. 12
&SYSTEM
  ibrav = 0, nat = 9, ntyp = 3
/
ATOMIC_SPECIES
Pr 140.91 Pr.upf
Ho 164.93 Ho.upf
Pm 145.00 Pm.upf
CELL_PARAMETERS angstrom
-1.065 -2.478 2.330
0.049 -5.998 -6.357
9.923 0.220 2.045
ATOMIC_POSITIONS crystal
Pr 0.333 0.956 0.667
Pr 0.667 0.044 0.333
Ho 0.894 0.638 0.789
Ho 0.106 0.362 0.211
Ho 0.000 0.000 0.000
Pm 0.280 0.352 0.560
Pm 0.548 0.685 0.097
Pm 0.452 0.315 0.903
Pm 0.720 0.648 0.440


Arrangement b

! Pm4Pr2Ho3 (PBE, optimized geometry); values from VASP
! calculated volume = 34.25 Å³ per atom
! space group = No. 156
&SYSTEM
  ibrav = 0, nat = 9, ntyp = 3
/
ATOMIC_SPECIES
Pm 145.00 Pm.upf
Ho 164.93 Ho.upf
Pr 140.91 Pr.upf
CELL_PARAMETERS angstrom
3.635 0.000 0.000
-1.817 3.148 0.000
0.000 0.000 26.942
ATOMIC_POSITIONS crystal
Pm 0.000 0.000 0.758
Pm 0.000 0.000 0.545
Pm 0.667 0.333 0.433
Pm 0.667 0.333 0.221
Ho 0.667 0.333 0.652
Ho 0.000 0.000 0.325
Ho 0.000 0.000 0.982
Pr 0.667 0.333 0.872
Pr 0.667 0.333 0.088


The structure with the least stability is arrangement a.